Computed, not measured: a geometry-optimized Fe2AsAu structure at the PBE level of DFT.

```
data_Fe2AsAu
_chemical_formula_sum 'Fe2 As1 Au1'
_cell_length_a 3.000
_cell_length_b 4.145
_cell_length_c 4.805
_cell_angle_alpha 90.00
_cell_angle_beta 90.00
_cell_angle_gamma 90.00
_symmetry_space_group_name_H-M 'P m m 2'
_symmetry_Int_Tables_number 25
_symmetry_space_group_name_Hall 'P 2 -2'
loop_
_atom_site_label
_atom_site_fract_x
_atom_site_fract_y
_atom_site_fract_z
Fe1 0.000 0.000 0.000
Fe2 0.000 0.500 0.285
As1 0.500 0.500 0.885
Au1 0.500 0.000 0.492
```

Calculated values
- crystal system = orthorhombic
- E (eV/atom) = -6.06
- energy relative to the elements (eV per atom) = 0.16